Density functional theory data (PBE) for a relaxed CsSr2CaPd crystal.

Lattice parameters (Å, degrees): 6.221 6.221 5.969 90.00 90.00 90.00
Element x y z (fractional)
1 Cs 0.500 0.500 0.500
2 Sr 0.000 0.500 0.000
3 Sr 0.500 0.000 0.000
4 Ca 0.000 0.000 0.500
5 Pd 0.000 0.000 0.000

Summary:
Calculated formation energy   -0.191 eV per atom
Total DFT energy (no corrections)   -12.36 eV per cell


Density functional theory data (PBE) for a relaxed MgH10SO9 crystal.

Lattice parameters (Å, degrees): 6.113 6.269 10.673 75.56 81.46 70.24
Element x y z (fractional)
1 Mg 0.000 0.000 0.000
2 Mg 0.000 0.500 0.500
3 H 0.723 0.569 0.204
4 H 0.277 0.431 0.796
5 H 0.706 0.379 0.136
6 H 0.294 0.621 0.864
7 H 0.904 0.183 0.399
8 H 0.096 0.817 0.601
9 H 0.361 0.672 0.372
10 H 0.639 0.328 0.628
11 H 0.443 0.395 0.390
12 H 0.557 0.605 0.610
13 H 0.353 0.647 0.128
14 H 0.647 0.353 0.872
15 H 0.108 0.664 0.207
16 H 0.892 0.336 0.793
17 H 0.234 0.293 0.005
18 H 0.766 0.707 0.995
19 H 0.271 0.105 0.140
20 H 0.729 0.895 0.860
21 H 0.822 0.863 0.626
22 H 0.178 0.137 0.374
23 S 0.342 0.027 0.711
24 S 0.658 0.973 0.289
25 O 0.346 0.452 0.868
26 O 0.654 0.548 0.132
27 O 0.311 0.533 0.403
28 O 0.689 0.467 0.597
29 O 0.182 0.695 0.119
30 O 0.818 0.305 0.881
31 O 0.168 0.180 0.068
32 O 0.832 0.820 0.932
33 O 0.418 0.957 0.292
34 O 0.582 0.043 0.708
35 O 0.657 0.127 0.375
36 O 0.343 0.873 0.625
37 O 0.823 0.734 0.330
38 O 0.177 0.266 0.670
39 O 0.730 0.074 0.153
40 O 0.270 0.926 0.847
41 O 0.967 0.761 0.591
42 O 0.033 0.239 0.409

Summary:
Energy above the lowest structure with this stoichiometry   0.0 meV per atom
Total DFT energy (no corrections)   -223.02 eV per cell


Density functional theory data (PBE) for a relaxed Ac2La3S8 crystal.

Lattice parameters (Å, degrees): 7.135 8.594 8.459 120.53 107.88 90.00
Element x y z (fractional)
1 Ac 0.351 0.271 0.543
2 Ac 0.649 0.729 0.457
3 La 0.500 0.000 0.000
4 La 0.000 0.264 0.000
5 La 0.000 0.736 0.000
6 S 0.931 0.621 0.242
7 S 0.069 0.379 0.758
8 S 0.934 0.112 0.224
9 S 0.066 0.888 0.776
10 S 0.588 0.652 0.754
11 S 0.588 0.102 0.754
12 S 0.412 0.898 0.246
13 S 0.412 0.348 0.246

Summary:
Total DFT energy (no corrections)   -81.50 eV per cell


Density functional theory data (PBE) for a relaxed Al3PdCl crystal.

Lattice parameters (Å, degrees): 4.712 4.712 4.712 90.00 90.00 90.00
Element x y z (fractional)
1 Al 0.000 0.500 0.000
2 Al 0.000 0.000 0.500
3 Al 0.500 0.000 0.000
4 Pd 0.500 0.500 0.500
5 Cl 0.000 0.000 0.000

Summary:
Energy above the lowest structure with this stoichiometry   1056.5 meV per atom
Total DFT energy (no corrections)   -14.86 eV per cell


Density functional theory data (PBE) for a relaxed SiTe4Au2 crystal.

Lattice parameters (Å, degrees): 5.944 5.944 7.397 113.69 113.69 90.00
Element x y z (fractional)
1 Si 0.500 0.500 0.000
2 Te 0.870 0.345 0.215
3 Te 0.345 0.870 0.215
4 Te 0.655 0.655 0.785
5 Te 0.130 0.130 0.785
6 Au 0.750 0.250 0.500
7 Au 0.250 0.750 0.500

Summary:
Total DFT energy (no corrections)   -24.62 eV per cell


Density functional theory data (PBE) for a relaxed SmDy6Ho2Tm crystal.

Lattice parameters (Å, degrees): 9.501 8.746 8.746 117.78 93.73 93.73
Element x y z (fractional)
1 Sm 0.250 0.976 0.024
2 Sm 0.750 0.024 0.976
3 Dy 0.056 0.124 0.751
4 Dy 0.444 0.249 0.876
5 Dy 0.944 0.876 0.249
6 Dy 0.556 0.751 0.124
7 Dy 0.316 0.984 0.433
8 Dy 0.184 0.567 0.016
9 Dy 0.684 0.016 0.567
10 Dy 0.816 0.433 0.984
11 Dy 0.119 0.709 0.493
12 Dy 0.381 0.507 0.291
13 Dy 0.881 0.291 0.507
14 Dy 0.619 0.493 0.709
15 Ho 0.454 0.801 0.696
16 Ho 0.046 0.304 0.199
17 Ho 0.546 0.199 0.304
18 Ho 0.954 0.696 0.801
19 Tm 0.250 0.410 0.590
20 Tm 0.750 0.590 0.410

Summary:
Calculated formation energy   0.120 eV per atom
Total DFT energy (no corrections)   -89.52 eV per cell